Record 1
LiZrReTe | PBE | optimized geometry

Lattice parameters (Å, degrees): 4.597 4.597 4.597 60.00 60.00 60.00
Positions (direct):
Li 0.750 0.750 0.750
Re 0.250 0.250 0.250
Te 0.500 0.500 0.500
Zr 0.000 0.000 0.000

Space-group type: F-43m (216)
Distance to the lowest polymorph of the same formula (meV/atom): 0

Record 2
PrGe2Pd | PBE | optimized geometry

Lattice parameters (Å, degrees): 3.379 7.685 6.516 90.00 90.00 90.00
Positions (direct):
Ge 0.000 0.758 0.172
Ge 0.500 0.157 0.328
Ge 0.000 0.242 0.672
Ge 0.500 0.843 0.828
Pd 0.000 0.057 0.002
Pd 0.000 0.943 0.502
Pr 0.500 0.569 0.498
Pr 0.500 0.431 0.998

Calculated total energy (eV per atom): -5.21
Space-group type: Pmc2_1 (26)

Record 3
Hf2CdMo | PBE | optimized geometry

Lattice parameters (Å, degrees): 3.397 3.397 6.930 90.00 90.00 90.00
Positions (direct):
Cd 0.500 0.500 0.500
Hf 0.000 0.000 0.220
Hf 0.000 0.000 0.780
Mo 0.500 0.500 0.000

Energy of formation from the pure elements (eV/atom): -0.121
Space-group type: P4/mmm (123)

Record 4
BaTlRe | PBE | optimized geometry

Lattice parameters (Å, degrees): 5.076 5.076 5.076 60.00 60.00 60.00
Positions (direct):
Ba 0.250 0.250 0.250
Re 0.000 0.000 0.000
Tl 0.750 0.750 0.750

Space-group type: F-43m (216)
Distance to the lowest polymorph of the same formula (meV/atom): 0

Record 5
RbTe5Os3 | PBE | optimized geometry

Lattice parameters (Å, degrees): 6.058 6.058 8.062 90.00 90.00 120.00
Positions (direct):
Os 0.500 0.000 0.500
Os 0.000 0.500 0.500
Os 0.500 0.500 0.500
Rb 0.000 0.000 0.000
Te 0.667 0.333 0.254
Te 0.333 0.667 0.254
Te 0.000 0.000 0.500
Te 0.667 0.333 0.746
Te 0.333 0.667 0.746

Calculated total energy (eV per atom): -5.44
Space-group type: P6/mmm (191)

Record 6
YNbSb | PBE | optimized geometry

Lattice parameters (Å, degrees): 5.004 5.004 5.004 60.00 60.00 60.00
Positions (direct):
Nb 0.250 0.250 0.250
Sb 0.750 0.750 0.750
Y 0.000 0.000 0.000

Calculated total energy (eV per atom): -6.26
Space-group type: F-43m (216)

Record 7
ScNb2B | PBE | optimized geometry

Lattice parameters (Å, degrees): 4.483 4.483 4.483 60.00 60.00 60.00
Positions (direct):
B 0.500 0.500 0.500
Nb 0.000 0.000 0.000
Nb 0.750 0.750 0.750
Sc 0.250 0.250 0.250

Calculated total energy (eV per atom): -7.90
Space-group type: F-43m (216)

Record 8
AcErSi | PBE | optimized geometry

Lattice parameters (Å, degrees): 5.084 5.084 5.084 60.00 60.00 60.00
Positions (direct):
Ac 0.250 0.250 0.250
Er 0.750 0.750 0.750
Si 0.000 0.000 0.000

Space-group type: F-43m (216)
Distance to the lowest polymorph of the same formula (meV/atom): 0

Record 9
HgGeOs2 | PBE | optimized geometry

Lattice parameters (Å, degrees): 4.546 4.546 4.546 60.00 60.00 60.00
Positions (direct):
Ge 0.500 0.500 0.500
Hg 0.250 0.250 0.250
Os 0.000 0.000 0.000
Os 0.750 0.750 0.750

Calculated total energy (eV per atom): -5.88
Space-group type: F-43m (216)

Record 10
K2Sm2Cd | PBE | optimized geometry

Lattice parameters (Å, degrees): 4.021 4.021 25.157 90.00 90.00 120.00
Positions (direct):
Cd 0.000 0.000 0.250
Cd 0.000 0.000 0.750
K 0.667 0.333 0.160
K 0.667 0.333 0.340
K 0.333 0.667 0.660
K 0.333 0.667 0.840
Sm 0.333 0.667 0.048
Sm 0.333 0.667 0.452
Sm 0.667 0.333 0.548
Sm 0.667 0.333 0.952

Calculated total energy (eV per atom): -2.10
Space-group type: P6_3/mmc (194)

Record 11
UAgPd | PBE | optimized geometry

Lattice parameters (Å, degrees): 4.673 4.673 4.673 60.00 60.00 60.00
Last column: magnetic moment on the atom in μB.
Positions (direct):
Ag 0.500 0.500 0.500  0.01
Pd 0.000 0.000 0.000  -0.08
U 0.750 0.750 0.750  2.41

Energy of formation from the pure elements (eV/atom): 0.603
Space-group type: F-43m (216)

Record 12
NdBi | PBE | optimized geometry

Lattice parameters (Å, degrees): 4.602 4.602 4.602 60.00 60.00 60.00
Positions (direct):
Bi 0.000 0.000 0.000
Nd 0.500 0.500 0.500

Space-group type: Fm-3m (225)
Distance to the lowest polymorph of the same formula (meV/atom): 0